A relaxed MnCuP2O crystal, computed with PBE+U.

Cell lengths 4.7865, 4.7865, 3.5058 Å; angles 90.00, 90.00, 90.00 degrees
With the nearest neighbours (Å) after each atom.
Fractional positions:
P  0.0000  0.5000  0.0000  2 Mn 2.39
P  0.5000  0.0000  0.0000  2 Mn 2.39
Cu  0.5000  0.5000  0.5000  8 P 2.97
Mn  0.0000  0.0000  0.0000  2 O 1.75
O  0.0000  0.0000  0.5000  2 Mn 1.75

Values from the calculation:
calculated total energy: -5.051 eV per atom